## ZrTa2Zn2 (PBE)

Data for a relaxed ZrTa2Zn2 crystal.

POSCAR file:
```
ZrTa2Zn2
1.0
-2.0396 1.3920 3.0730
-1.4712 -3.5985 0.6535
3.0312 -2.3783 5.6177
Zn Zr Ta
2 1 2
Cartesian
-0.3818 -1.0448 5.2770
-0.0977 -3.5400 4.0673
0.0000 0.0000 0.0000
-0.7859 -1.3615 2.6237
0.3064 -3.2233 6.7206
```

Summary:
**ΔE to the lowest computed polymorph**: 1.66 eV per formula unit
**DOS at the Fermi energy**: 3.006 states/eV/cell
**ΔE_f**: 421 meV/atom
**Total magnetic moment**: 0.0 μB/f.u.
**E**: -6.540 eV per atom